# LiIrW2

A relaxed LiIrW2 crystal (PBE, the Alexandria database).

V ... 62.05 Å³ per cell
Magnetization ... 0.00 μB per cell
Space group ... Cmm2, No. 35
Energy of formation ... 187 meV per atom

abc: 2.7172 2.7172 8.9811
angles: 90.00 90.00 110.64
Last column: nearest neighbours and their distance in Å.
Atoms (fractional coordinates):
Li  0.0000  0.0000  0.0000  2 Ir 2.65, 4 Li 2.72, 2 W 2.86
Ir  0.5000  0.5000  0.7608  2 Li 2.65, 2 W 2.68, 4 Ir 2.72
W  0.0000  0.0000  0.5175  2 Ir 2.68, 6 W 2.72
W  0.5000  0.5000  0.2677  6 W 2.72, 2 Li 2.86